No. 1
# K4W3 | the Alexandria database | PBE | relaxed
# E_form = 1.38 eV/atom
# mass density = 4.1 g cm⁻³
# crystal system = hexagonal
# N(E_F) = 2.941 states/eV/cell
# space-group type = P6/mmm (191)
# magnetization = 0.000 Bohr magnetons per cell
data_K4W3
_cell_length_a 5.145
_cell_length_b 5.145
_cell_length_c 12.600
_cell_angle_alpha 90.00
_cell_angle_beta 90.00
_cell_angle_gamma 120.00
_space_group_name_H-M_alt 'P 1'
_space_group_IT_number 1
_space_group_name_Hall 'P 1'
loop_
_atom_site_label
_atom_site_type_symbol
_atom_site_fract_x
_atom_site_fract_y
_atom_site_fract_z
K1 K 0.000 0.000 0.206
K2 K 0.000 0.000 0.794
K3 K 0.333 0.667 0.500
K4 K 0.667 0.333 0.500
W1 W 0.000 0.500 0.000
W2 W 0.500 0.000 0.000
W3 W 0.500 0.500 0.000

No. 2
# TbNd4Ge4 | the Alexandria database | PBE | relaxed
# E_form = -0.59 eV/atom
# mass density = 6.7 g cm⁻³
# crystal system = tetragonal
# N(E_F) = 17.755 states/eV/cell
# space-group type = P4_2/n (86)
# magnetization = 0.000 Bohr magnetons per cell
data_TbNd4Ge4
_cell_length_a 9.121
_cell_length_b 9.121
_cell_length_c 6.106
_cell_angle_alpha 90.00
_cell_angle_beta 90.00
_cell_angle_gamma 90.00
_space_group_name_H-M_alt 'P 1'
_space_group_IT_number 1
_space_group_name_Hall 'P 1'
loop_
_atom_site_label
_atom_site_type_symbol
_atom_site_fract_x
_atom_site_fract_y
_atom_site_fract_z
Tb1 Tb 0.250 0.250 0.250
Tb2 Tb 0.750 0.750 0.750
Nd1 Nd 0.050 0.671 0.121
Nd2 Nd 0.171 0.950 0.621
Nd3 Nd 0.329 0.550 0.621
Nd4 Nd 0.450 0.829 0.121
Nd5 Nd 0.550 0.171 0.879
Nd6 Nd 0.671 0.450 0.379
Nd7 Nd 0.829 0.050 0.379
Nd8 Nd 0.950 0.329 0.879
Ge1 Ge 0.016 0.629 0.610
Ge2 Ge 0.129 0.984 0.110
Ge3 Ge 0.371 0.516 0.110
Ge4 Ge 0.484 0.871 0.610
Ge5 Ge 0.516 0.129 0.390
Ge6 Ge 0.629 0.484 0.890
Ge7 Ge 0.871 0.016 0.890
Ge8 Ge 0.984 0.371 0.390

No. 3
# CaBiPd4 | the Alexandria database | PBE | relaxed
# E_form = -0.37 eV/atom
# mass density = 9.3 g cm⁻³
# crystal system = orthorhombic
# N(E_F) = 5.177 states/eV/cell
# space-group type = Pmma (51)
# magnetization = 0.000 Bohr magnetons per cell
data_CaBiPd4
_cell_length_a 7.886
_cell_length_b 4.226
_cell_length_c 7.220
_cell_angle_alpha 90.00
_cell_angle_beta 90.00
_cell_angle_gamma 90.00
_space_group_name_H-M_alt 'P 1'
_space_group_IT_number 1
_space_group_name_Hall 'P 1'
loop_
_atom_site_label
_atom_site_type_symbol
_atom_site_fract_x
_atom_site_fract_y
_atom_site_fract_z
Ca1 Ca 0.250 0.000 0.182
Ca2 Ca 0.750 0.000 0.818
Bi1 Bi 0.250 0.000 0.755
Bi2 Bi 0.750 0.000 0.245
Pd1 Pd 0.000 0.000 0.500
Pd2 Pd 0.026 0.500 0.797
Pd3 Pd 0.250 0.500 0.465
Pd4 Pd 0.474 0.500 0.797
Pd5 Pd 0.500 0.000 0.500
Pd6 Pd 0.526 0.500 0.203
Pd7 Pd 0.750 0.500 0.535
Pd8 Pd 0.974 0.500 0.203

No. 4
# KAlPb | the Alexandria database | PBE | relaxed
# E_form = 0.19 eV/atom
# mass density = 4.8 g cm⁻³
# crystal system = trigonal
# N(E_F) = 0.453 states/eV/cell
# space-group type = P3m1 (156)
# magnetization = 0.000 Bohr magnetons per cell
data_KAlPb
_cell_length_a 3.667
_cell_length_b 3.667
_cell_length_c 8.078
_cell_angle_alpha 90.00
_cell_angle_beta 90.00
_cell_angle_gamma 120.00
_space_group_name_H-M_alt 'P 1'
_space_group_IT_number 1
_space_group_name_Hall 'P 1'
loop_
_atom_site_label
_atom_site_type_symbol
_atom_site_fract_x
_atom_site_fract_y
_atom_site_fract_z
K1 K 0.000 0.000 0.000
Al1 Al 0.333 0.667 0.651
Pb1 Pb 0.667 0.333 0.377

No. 5
# ZrTa3N6 | the Alexandria database | PBE | relaxed
# mass density = 10.7 g cm⁻³
# crystal system = monoclinic
# N(E_F) = 3.918 states/eV/cell
# ΔE_f (raw) = -1145.3 meV per atom
# space-group type = P2_1/m (11)
# magnetization = 0.000 Bohr magnetons per cell
data_ZrTa3N6
_cell_length_a 8.614
_cell_length_b 3.102
_cell_length_c 8.783
_cell_angle_alpha 90.00
_cell_angle_beta 107.91
_cell_angle_gamma 90.00
_space_group_name_H-M_alt 'P 1'
_space_group_IT_number 1
_space_group_name_Hall 'P 1'
loop_
_atom_site_label
_atom_site_type_symbol
_atom_site_fract_x
_atom_site_fract_y
_atom_site_fract_z
Zr1 Zr 0.050 0.250 0.193
Zr2 Zr 0.950 0.750 0.807
Ta1 Ta 0.168 0.250 0.581
Ta2 Ta 0.316 0.750 0.985
Ta3 Ta 0.433 0.250 0.326
Ta4 Ta 0.567 0.750 0.674
Ta5 Ta 0.684 0.250 0.015
Ta6 Ta 0.832 0.750 0.419
N1 N 0.080 0.750 0.409
N2 N 0.129 0.250 0.965
N3 N 0.201 0.750 0.745
N4 N 0.269 0.750 0.234
N5 N 0.398 0.250 0.563
N6 N 0.476 0.250 0.110
N7 N 0.524 0.750 0.890
N8 N 0.602 0.750 0.437
N9 N 0.731 0.250 0.766
N10 N 0.799 0.250 0.255
N11 N 0.871 0.750 0.035
N12 N 0.920 0.250 0.591

No. 6
# La2SiO | the Alexandria database | PBE | relaxed
# mass density = 5.2 g cm⁻³
# crystal system = monoclinic
# N(E_F) = 3.218 states/eV/cell
# ΔE_f (raw) = -1638.4 meV per atom
# space-group type = P2/c (13)
# magnetization = 0.000 Bohr magnetons per cell
data_La2SiO
_cell_length_a 6.075
_cell_length_b 6.007
_cell_length_c 12.523
_cell_angle_alpha 90.00
_cell_angle_beta 116.30
_cell_angle_gamma 90.00
_space_group_name_H-M_alt 'P 1'
_space_group_IT_number 1
_space_group_name_Hall 'P 1'
loop_
_atom_site_label
_atom_site_type_symbol
_atom_site_fract_x
_atom_site_fract_y
_atom_site_fract_z
La1 La 0.098 0.221 0.108
La2 La 0.098 0.779 0.608
La3 La 0.318 0.235 0.859
La4 La 0.318 0.765 0.359
La5 La 0.682 0.235 0.641
La6 La 0.682 0.765 0.141
La7 La 0.902 0.221 0.392
La8 La 0.902 0.779 0.892
Si1 Si 0.388 0.266 0.374
Si2 Si 0.388 0.734 0.874
Si3 Si 0.612 0.266 0.126
Si4 Si 0.612 0.734 0.626
O1 O 0.043 0.168 0.622
O2 O 0.043 0.832 0.122
O3 O 0.957 0.168 0.878
O4 O 0.957 0.832 0.378